No. 1
A relaxed structure of Dy4CoHg, computed with PBE-GGA.

Values from the calculation:
- formation energy (eV/atom) = -0.302
- calculated volume (Å³/cell) = 2387.9
- theoretical density (g/cm³) = 10.12
- size of the total moment (μB per atom) = 0.00

a = 13.366 Å, b = 13.366 Å, c = 13.366 Å
α = 90.00°, β = 90.00°, γ = 90.00°
Space group F-43m (No. 216)
Inequivalent atoms, fractional coordinates:
Dy  0.000  0.000  0.189 x24
Dy  0.061  0.250  0.250 x24
Dy  0.152  0.152  0.652 x16
Co  0.141  0.141  0.859 x16
Hg  0.084  0.084  0.416 x16

=====

No. 2
A relaxed structure of Hg2Bi2Se, computed with PBE-GGA.

Values from the calculation:
- calculated volume (Å³/cell) = 293.2
- theoretical density (g/cm³) = 10.17
- size of the total moment (μB per atom) = 0.00
- ΔE_f (raw) (meV per atom) = 69

a = 8.333 Å, b = 8.333 Å, c = 4.223 Å
α = 90.00°, β = 90.00°, γ = 90.00°
Space group P4/mbm (No. 127)
Inequivalent atoms, fractional coordinates:
Hg  0.123  0.377  0.000 x4
Bi  0.194  0.694  0.500 x4
Se  0.000  0.000  0.500 x2

=====

No. 3
A relaxed structure of CrPbS2, computed with PBE-GGA.

Values from the calculation:
- calculated volume (Å³/cell) = 390.4
- theoretical density (g/cm³) = 5.50
- size of the total moment (μB per atom) = 0.79
- ΔE_f (raw) (meV per atom) = -354

a = 6.989 Å, b = 8.575 Å, c = 6.514 Å
α = 90.00°, β = 90.00°, γ = 90.00°
Space group Pna2_1 (No. 33)
Inequivalent atoms, fractional coordinates:
Cr  0.019  0.123  0.000 x4
Pb  0.057  0.538  0.122 x4
S  0.043  0.117  0.648 x4
S  0.231  0.747  0.652 x4

=====

No. 4
A relaxed structure of LiAlGe, computed with PBE-GGA.

Values from the calculation:
- formation energy (eV/atom) = -0.083
- calculated volume (Å³/cell) = 208.8
- theoretical density (g/cm³) = 3.39
- size of the total moment (μB per atom) = 0.00

a = 8.777 Å, b = 3.333 Å, c = 7.140 Å
α = 90.00°, β = 91.35°, γ = 90.00°
Space group Cm (No. 8)
Inequivalent atoms, fractional coordinates:
Li  0.000  0.000  0.000 x2
Li  0.224  0.500  0.817 x2
Al  0.147  0.000  0.496 x2
Al  0.429  0.000  0.318 x2
Ge  0.213  0.500  0.190 x2
Ge  0.438  0.000  0.678 x2

=====

No. 5
A relaxed structure of KCdB2F8, computed with PBE-GGA.

Values from the calculation:
- calculated volume (Å³/cell) = 545.2
- theoretical density (g/cm³) = 2.97
- size of the total moment (μB per atom) = 0.08
- ΔE_f (raw) (meV per atom) = -2661

a = 5.3201 Å, b = 5.3201 Å, c = 22.2429 Å
α = 90.00°, β = 90.00°, γ = 120.00°
Space group R-3 (No. 148, hexagonal axes)
Inequivalent atoms, fractional coordinates:
K  0.0000  0.0000  0.0000 x3
Cd  0.0000  0.0000  0.5000 x3
B  0.0000  0.0000  0.2574 x6
F  0.0000  0.0000  0.3209 x6
F  0.0553  0.6022  0.4305 x18

=====

No. 6
A relaxed structure of Y2CrP, computed with PBE-GGA.

Values from the calculation:
- formation energy (eV/atom) = -0.507
- calculated volume (Å³/cell) = 364.1
- theoretical density (g/cm³) = 4.76
- size of the total moment (μB per atom) = 0.04

a = 12.730 Å, b = 3.947 Å, c = 8.421 Å
α = 90.00°, β = 120.62°, γ = 90.00°
Space group Cm (No. 8)
Inequivalent atoms, fractional coordinates:
Y  0.000  0.000  0.000 x2
Y  0.016  0.500  0.641 x2
Y  0.221  0.500  0.449 x2
Y  0.351  0.000  0.187 x2
Cr  0.249  0.000  0.734 x2
Cr  0.250  0.500  0.883 x2
P  0.049  0.000  0.408 x2
P  0.169  0.500  0.082 x2

=====

No. 7
A relaxed structure of Sr2AcAu6, computed with PBE-GGA.

Values from the calculation:
- formation energy (eV/atom) = -0.769
- calculated volume (Å³/cell) = 236.6
- theoretical density (g/cm³) = 11.12
- size of the total moment (μB per atom) = 0.00

a = 8.3763 Å, b = 8.3763 Å, c = 3.8945 Å
α = 90.00°, β = 90.00°, γ = 120.00°
Space group P6/mmm (No. 191)
Inequivalent atoms, fractional coordinates:
Sr  0.3333  0.6667  0.0000 x2
Ac  0.0000  0.0000  0.0000 x1
Au  0.0000  0.3334  0.5000 x6

=====

No. 8
A relaxed structure of RbBiTeS, computed with PBE-GGA.

Values from the calculation:
- calculated volume (Å³/cell) = 413.5
- theoretical density (g/cm³) = 5.47
- size of the total moment (μB per atom) = 0.00
- ΔE_f (raw) (meV per atom) = -676

a = 4.3866 Å, b = 4.3866 Å, c = 24.8104 Å
α = 90.00°, β = 90.00°, γ = 120.00°
Space group R3m (No. 160, hexagonal axes)
Inequivalent atoms, fractional coordinates:
Rb  0.0000  0.0000  0.0000 x3
Bi  0.0000  0.0000  0.1866 x3
Te  0.0000  0.0000  0.7787 x3
S  0.0000  0.0000  0.5797 x3

=====

No. 9
A relaxed structure of LiNd3Th3S8, computed with PBE-GGA.

Values from the calculation:
- calculated volume (Å³/cell) = 1106.1
- theoretical density (g/cm³) = 6.27
- size of the total moment (μB per atom) = 0.00
- ΔE_f (raw) (meV per atom) = -1899

a = 8.0672 Å, b = 8.0672 Å, c = 19.6260 Å
α = 90.00°, β = 90.00°, γ = 120.00°
Space group R-3m (No. 166, hexagonal axes)
Inequivalent atoms, fractional coordinates:
Li  0.0000  0.0000  0.0000 x3
Nd  0.0000  0.5000  0.0000 x9
Th  0.0000  0.5000  0.5000 x9
S  0.0000  0.0000  0.2498 x6
S  0.0127  0.5063  0.7486 x18

=====

No. 10
A relaxed structure of RbTa2Tc, computed with PBE-GGA.

Values from the calculation:
- formation energy (eV/atom) = 1.759
- calculated volume (Å³/cell) = 516.3
- theoretical density (g/cm³) = 7.02
- size of the total moment (μB per atom) = 0.00

a = 5.594 Å, b = 5.594 Å, c = 16.498 Å
α = 90.00°, β = 90.00°, γ = 90.00°
Space group I4_1/amd (No. 141, origin choice 2)
Inequivalent atoms, fractional coordinates:
Rb  0.000  0.250  0.375 x4
Ta  0.000  0.000  0.000 x8
Tc  0.000  0.250  0.875 x4

=====

No. 11
A relaxed structure of SrMn2Mo, computed with PBE-GGA.

Values from the calculation:
- formation energy (eV/atom) = 0.652
- calculated volume (Å³/cell) = 77.4
- theoretical density (g/cm³) = 6.29
- size of the total moment (μB per atom) = 1.23

a = 3.139 Å, b = 3.139 Å, c = 7.858 Å
α = 90.00°, β = 90.00°, γ = 90.00°
Space group P4mm (No. 99)
Inequivalent atoms, fractional coordinates:
Sr  0.000  0.000  0.000 x1
Mn  0.000  0.000  0.476 x1
Mn  0.500  0.500  0.666 x1
Mo  0.500  0.500  0.327 x1

=====

No. 12
A relaxed structure of Sc2MnRePt, computed with PBE-GGA.

Values from the calculation:
- formation energy (eV/atom) = 0.690
- calculated volume (Å³/cell) = 119.5
- theoretical density (g/cm³) = 7.31
- size of the total moment (μB per atom) = 0.77

a = 4.984 Å, b = 4.984 Å, c = 4.810 Å
α = 90.00°, β = 90.00°, γ = 90.00°
Space group P4/mmm (No. 123)
Inequivalent atoms, fractional coordinates:
Sc  0.000  0.500  0.000 x2
Mn  0.000  0.000  0.500 x1
Re  0.500  0.500  0.500 x1
Pt  0.500  0.500  0.000 x1

=====

No. 13
A relaxed structure of DyMg2GaGe2, computed with PBE-GGA.

Values from the calculation:
- formation energy (eV/atom) = -0.385
- calculated volume (Å³/cell) = 248.2
- theoretical density (g/cm³) = 5.70
- size of the total moment (μB per atom) = 0.00

a = 4.143 Å, b = 8.729 Å, c = 6.863 Å
α = 90.00°, β = 90.00°, γ = 90.00°
Space group Pmc2_1 (No. 26)
Inequivalent atoms, fractional coordinates:
Dy  0.000  0.083  0.000 x2
Mg  0.000  0.313  0.414 x2
Mg  0.500  0.427  0.093 x2
Ga  0.500  0.188  0.692 x2
Ge  0.000  0.383  0.803 x2
Ge  0.500  0.124  0.305 x2

=====

No. 14
A relaxed structure of B2H8Br, computed with PBE-GGA.

Values from the calculation:
- energy (eV/atom) = -3.656
- calculated volume (Å³/cell) = 262.2
- theoretical density (g/cm³) = 1.39
- size of the total moment (μB per atom) = 0.03

a = 6.801 Å, b = 15.912 Å, c = 2.423 Å
α = 90.00°, β = 90.63°, γ = 90.00°
Space group C2/m (No. 12)
Inequivalent atoms, fractional coordinates:
B  0.000  0.198  0.000 x4
H  0.000  0.248  0.500 x4
H  0.043  0.000  0.403 x4
H  0.157  0.165  0.005 x8
Br  0.000  0.500  0.500 x2

=====

No. 15
A relaxed structure of Sr2ReHg, computed with PBE-GGA.

Values from the calculation:
- formation energy (eV/atom) = 0.579
- calculated volume (Å³/cell) = 112.0
- theoretical density (g/cm³) = 8.33
- size of the total moment (μB per atom) = 0.45

a = 3.580 Å, b = 3.580 Å, c = 8.742 Å
α = 90.00°, β = 90.00°, γ = 90.00°
Space group P4/mmm (No. 123)
Inequivalent atoms, fractional coordinates:
Sr  0.000  0.000  0.227 x2
Re  0.500  0.500  0.000 x1
Hg  0.500  0.500  0.500 x1

=====

No. 16
A relaxed structure of LaSe3F, computed with PBE-GGA.

Values from the calculation:
- calculated volume (Å³/cell) = 108.4
- theoretical density (g/cm³) = 6.04
- size of the total moment (μB per atom) = 0.00
- ΔE_f (raw) (meV per atom) = -876

a = 4.769 Å, b = 4.769 Å, c = 4.769 Å
α = 90.00°, β = 90.00°, γ = 90.00°
Space group Pm-3m (No. 221)
Inequivalent atoms, fractional coordinates:
La  0.000  0.000  0.000 x1
Se  0.000  0.500  0.500 x3
F  0.500  0.500  0.500 x1

=====

No. 17
A relaxed structure of La3TmPb4, computed with PBE-GGA.

Values from the calculation:
- formation energy (eV/atom) = -0.526
- calculated volume (Å³/cell) = 489.8
- theoretical density (g/cm³) = 9.59
- size of the total moment (μB per atom) = 0.00

a = 19.039 Å, b = 5.169 Å, c = 5.169 Å
α = 90.00°, β = 105.68°, γ = 90.00°
Space group C2/m (No. 12)
Inequivalent atoms, fractional coordinates:
La  0.000  0.000  0.000 x2
La  0.249  0.500  0.749 x4
Tm  0.000  0.500  0.500 x2
Pb  0.122  0.000  0.622 x4
Pb  0.122  0.500  0.122 x4

=====

No. 18
A relaxed structure of Pa3GaP4N12, computed with PBE-GGA.

Values from the calculation:
- calculated volume (Å³/cell) = 938.1
- theoretical density (g/cm³) = 5.60
- size of the total moment (μB per atom) = 0.00
- ΔE_f (raw) (meV per atom) = -660

a = 10.9054 Å, b = 10.9054 Å, c = 9.1084 Å
α = 90.00°, β = 90.00°, γ = 120.00°
Space group R32 (No. 155, hexagonal axes)
Inequivalent atoms, fractional coordinates:
Pa  0.0000  0.5465  0.0000 x9
Ga  0.0000  0.0000  0.0000 x3
P  0.0000  0.0000  0.5000 x3
P  0.0000  0.4522  0.5000 x9
N  0.0000  0.5988  0.5000 x9
N  0.0000  0.8548  0.5000 x9
N  0.0219  0.2139  0.2027 x18

=====

No. 19
A relaxed structure of Ca2MnTlI8, computed with PBE-GGA.

Values from the calculation:
- calculated volume (Å³/cell) = 502.5
- theoretical density (g/cm³) = 4.48
- size of the total moment (μB per atom) = 0.36
- ΔE_f (raw) (meV per atom) = -946

a = 7.107 Å, b = 9.231 Å, c = 7.666 Å
α = 90.00°, β = 92.19°, γ = 90.00°
Space group P2/m (No. 10)
Inequivalent atoms, fractional coordinates:
Ca  0.000  0.237  0.000 x2
Mn  0.500  0.000  0.500 x1
Tl  0.500  0.500  0.500 x1
I  0.217  0.500  0.847 x2
I  0.252  0.000  0.836 x2
I  0.267  0.208  0.354 x4

=====

No. 20
A relaxed structure of Cs2SbPdRu, computed with PBE-GGA.

Values from the calculation:
- calculated volume (Å³/cell) = 207.1
- theoretical density (g/cm³) = 4.77
- size of the total moment (μB per atom) = 0.56
- ΔE_f (raw) (meV per atom) = 905

a = 6.401 Å, b = 6.401 Å, c = 5.054 Å
α = 90.00°, β = 90.00°, γ = 90.00°
Space group P4/mmm (No. 123)
Inequivalent atoms, fractional coordinates:
Cs  0.000  0.500  0.000 x2
Sb  0.000  0.000  0.500 x1
Pd  0.000  0.000  0.000 x1
Ru  0.500  0.500  0.500 x1